Entry 1:
VASP calculation (PBE) on an optimized crystal structure of BaSiPd2Pb.

Results
- SG = No. 123
- crystal system = tetragonal
- final energy (eV/atom) = -4.554

a b c (Å): 4.8695 4.8695 5.3783
angles (deg): 90.00 90.00 90.00
Fractional coordinates of all 5 atoms:
Ba (0.0000, 0.0000, 0.0000)
Si (0.5000, 0.5000, 0.5000)
Pd (0.0000, 0.5000, 0.5000)
Pd (0.5000, 0.0000, 0.5000)
Pb (0.5000, 0.5000, 0.0000)

=====

Entry 2:
VASP calculation (PBE) on an optimized crystal structure of Cs2PrSiO4.

Results
- SG = No. 70
- crystal system = orthorhombic
- final energy (eV/atom) = -6.100

a b c (Å): 14.4361 13.2058 7.1684
angles (deg): 84.73 65.63 29.63
Fractional coordinates of all 16 atoms:
Cs (0.0567, 0.0567, 0.6933)
Cs (0.3067, 0.3067, 0.9433)
Cs (0.6933, 0.6933, 0.0567)
Cs (0.9433, 0.9433, 0.3067)
Pr (0.1250, 0.1250, 0.1250)
Pr (0.8750, 0.8750, 0.8750)
Si (0.3750, 0.3750, 0.3750)
Si (0.6250, 0.6250, 0.6250)
O (0.0905, 0.5913, 0.5104)
O (0.3077, 0.5104, 0.5913)
O (0.4087, 0.9095, 0.6923)
O (0.4896, 0.6923, 0.9095)
O (0.5104, 0.3077, 0.0905)
O (0.5913, 0.0905, 0.3077)
O (0.6923, 0.4896, 0.4087)
O (0.9095, 0.4087, 0.4896)

=====

Entry 3:
VASP calculation (PBE) on an optimized crystal structure of CaAcLaMg.

Results
- formation enthalpy at 0 K (eV per atom) = -0.023
- SG = No. 99
- crystal system = tetragonal
- final energy (eV/atom) = -3.181
- E above lowest polymorph (meV/atom) = 0

a b c (Å): 3.8596 3.8596 9.9263
angles (deg): 90.00 90.00 90.00
Fractional coordinates of all 4 atoms:
Ca (0.0000, 0.0000, 0.0000)
Ac (0.5000, 0.5000, 0.2998)
La (0.0000, 0.0000, 0.5697)
Mg (0.5000, 0.5000, 0.7873)

=====

Entry 4:
VASP calculation (PBE) on an optimized crystal structure of Pr8Al2Os.

Results
- formation enthalpy at 0 K (eV per atom) = -0.123
- SG = No. 12
- crystal system = monoclinic
- final energy (eV/atom) = -5.300

a b c (Å): 9.5095 9.5095 7.1216
angles (deg): 108.39 108.39 32.88
Fractional coordinates of all 11 atoms:
Pr (0.0131, 0.0131, 0.2798)
Pr (0.2048, 0.2048, 0.7730)
Pr (0.3487, 0.3487, 0.5647)
Pr (0.4017, 0.4017, 0.0795)
Pr (0.5983, 0.5983, 0.9205)
Pr (0.6513, 0.6513, 0.4353)
Pr (0.7952, 0.7952, 0.2270)
Pr (0.9869, 0.9869, 0.7202)
Al (0.1812, 0.1812, 0.1986)
Al (0.8188, 0.8188, 0.8014)
Os (0.5000, 0.5000, 0.5000)

=====

Entry 5:
VASP calculation (PBE) on an optimized crystal structure of CsRbTa3.

Results
- formation enthalpy at 0 K (eV per atom) = 3.228
- SG = No. 221
- crystal system = cubic
- final energy (eV/atom) = -4.248
- E above lowest polymorph (meV/atom) = 0

a b c (Å): 5.2601 5.2601 5.2601
angles (deg): 90.00 90.00 90.00
Fractional coordinates of all 5 atoms:
Cs (0.0000, 0.0000, 0.0000)
Rb (0.5000, 0.5000, 0.5000)
Ta (0.0000, 0.0000, 0.5000)
Ta (0.0000, 0.5000, 0.0000)
Ta (0.5000, 0.0000, 0.0000)